Entry from Alexandria via LeMat-Bulk: a relaxed structure of SrCdTe2 (PBEsol).

Structure (extended XYZ):
```
4
Lattice="2.534 1.463 8.290 -2.534 1.463 8.290 0.000 -2.926 8.290" Properties=species:S:1:pos:R:3 pbc="T T T"
Sr 0.000 0.000 0.000
Cd 0.000 0.000 12.435
Te 0.000 0.000 9.827
Te 0.000 0.000 15.043
```

Uncorrected formation energy, meV/atom: -770
Uncorrected energy, eV/atom: -3.293
SG: R-3m

---

Entry from Alexandria via LeMat-Bulk: a relaxed structure of La2MgSc (PBEsol).

Structure (extended XYZ):
```
4
Lattice="5.326 0.000 0.000 0.000 1.704 6.484 0.000 -1.704 6.484" Properties=species:S:1:pos:R:3 pbc="T T T"
La 0.000 0.000 0.000
La 2.663 0.000 4.329
Mg 2.663 0.000 7.864
Sc 0.000 0.000 9.530
```

Uncorrected energy, eV/atom: -4.721
SG: Amm2

---

Entry from Alexandria via LeMat-Bulk: a relaxed structure of TaAgP2 (PBEsol).

Structure (extended XYZ):
```
4
Lattice="3.233 0.000 0.000 0.000 3.226 0.000 -0.457 0.000 5.946" Properties=species:S:1:pos:R:3 pbc="T T T"
Ta 0.000 0.000 0.000
Ag -0.228 0.000 2.973
P 1.137 1.613 4.667
P 1.639 1.613 1.279
```

Uncorrected energy, eV/atom: -7.069
Excess energy over the best structure of this formula in the dataset, eV per atom: 0.000
SG: P2/m

---

Entry from Alexandria via LeMat-Bulk: a relaxed structure of SmBi (PBEsol).

Structure (extended XYZ):
```
2
Lattice="0.000 3.168 3.168 3.168 0.000 3.168 3.168 3.168 0.000" Properties=species:S:1:pos:R:3 pbc="T T T"
Sm 0.000 0.000 0.000
Bi 3.168 3.168 3.168
```

Uncorrected energy, eV/atom: -5.645
SG: Fm-3m